A) AcDy2Mg: optimized geometry, PBE.

```
4
Lattice="-2.713 1.909 -1.258 -2.743 -1.627 -1.555 -7.511 -0.778 10.012" Properties=species:S:1:pos:R:3 pbc="T T T"
Ac 0.000 0.000 0.000
Mg -6.483 -0.248 3.599
Dy -5.870 -0.527 6.856
Dy -7.097 0.030 0.343
```

Space group: No. 166
Magnetization (μB/f.u.): 0.000


B) AcDy2Mg: optimized geometry, PBE.

```
4
Lattice="-1.980 -2.442 1.910 0.708 -3.596 -0.322 7.009 -1.319 9.120" Properties=species:S:1:pos:R:3 pbc="T T T"
Ac 2.864 -3.679 5.349
Dy 5.333 -1.475 7.183
Dy 1.252 -1.856 2.467
Mg -0.843 -4.025 1.065
```

Space group: No. 160
Magnetization (μB/f.u.): 0.000


Stability, lowest: A)


A) AcDy2Mg: optimized geometry, PBE.

```
4
Lattice="5.693 0.000 0.000 2.846 4.930 0.000 2.846 1.643 4.648" Properties=species:S:1:pos:R:3 pbc="T T T"
Ac 0.000 0.000 0.000
Mg 5.693 3.287 2.324
Dy 2.846 1.643 1.162
Dy 8.539 4.930 3.486
```

Space group: No. 225
Magnetization (μB/f.u.): 0.001


B) AcDy2Mg: optimized geometry, PBE.

```
4
Lattice="3.804 0.000 0.000 0.000 3.804 0.000 0.000 0.000 8.966" Properties=species:S:1:pos:R:3 pbc="T T T"
Ac 1.902 1.902 4.483
Mg 1.902 1.902 0.000
Dy 0.000 0.000 7.095
Dy 0.000 0.000 1.871
```

Space group: No. 123
Magnetization (μB/f.u.): 0.000


Stability, lowest: A)


A) AcPmDyMg: optimized geometry, PBE.

```
4
Lattice="-5.597 1.033 0.725 -2.535 -1.294 4.982 -1.711 4.193 3.523" Properties=species:S:1:pos:R:3 pbc="T T T"
Ac -4.921 1.966 4.615
Pm -7.382 2.949 6.923
Mg 0.000 0.000 0.000
Dy -2.461 0.983 2.308
```

Space group: No. 216
Magnetization (μB/f.u.): 0.001


B) AcPmDyMg: optimized geometry, PBE.

```
4
Lattice="3.832 0.000 0.000 0.000 3.832 0.000 0.000 0.000 9.034" Properties=species:S:1:pos:R:3 pbc="T T T"
Ac 0.000 0.000 0.689
Pm 1.916 1.916 7.069
Dy 1.916 1.916 3.261
Mg 0.000 0.000 5.104
```

Space group: No. 99
Magnetization (μB/f.u.): 0.000


Stability, lowest: A)


A) AcSmDyMg: optimized geometry, PBE.

```
4
Lattice="-4.537 -3.418 -0.736 -0.668 -2.851 -4.923 0.689 -5.685 -0.134" Properties=species:S:1:pos:R:3 pbc="T T T"
Ac -2.258 -5.977 -2.896
Mg 0.000 0.000 0.000
Sm -3.387 -8.966 -4.344
Dy -1.129 -2.989 -1.448
```

Space group: No. 216
Magnetization (μB/f.u.): 0.000


B) AcSmDyMg: optimized geometry, PBE.

```
4
Lattice="3.826 0.000 0.000 0.000 3.826 0.000 0.000 0.000 9.021" Properties=species:S:1:pos:R:3 pbc="T T T"
Ac 0.000 0.000 0.678
Sm 1.913 1.913 7.053
Dy 1.913 1.913 3.261
Mg 0.000 0.000 5.108
```

Space group: No. 99
Magnetization (μB/f.u.): 0.000


Stability, lowest: A)